PBE PaBeFe2H6, optimized geometry; magnetization = 0.8 μB/f.u.; calculated total energy = -52.063 eV per cell; density = 8.265 g/cm3
1.0
2.0786 1.2001 4.8028
-2.0786 1.2001 4.8028
0.0000 -2.4002 4.8028
Pa Be Fe H
1 1 2 6
Cartesian
0.0000 0.0000 0.0000 Pa
0.0000 0.0000 7.2043 Be
0.0000 0.0000 2.9099 Fe
0.0000 0.0000 11.4986 Fe
-0.9718 -0.5610 5.7823 H
0.0000 -1.1221 8.6262 H
-0.9718 0.5610 8.6262 H
0.9718 -0.5610 5.7823 H
0.0000 1.1221 5.7823 H
0.9718 0.5610 8.6262 H